A plane-wave DFT calculation with GGA+U was carried out for a geometry-optimized Cs2Pu3NiO12 structure. Values from VASP.

```
&SYSTEM
  ibrav = 0, nat = 18, ntyp = 4
/
ATOMIC_SPECIES
Cs 132.91 Cs.upf
Pu 244.00 Pu.upf
Ni 58.69 Ni.upf
O 16.00 O.upf
CELL_PARAMETERS angstrom
3.9399 2.2747 5.8964
-3.9399 2.2747 5.8964
0.0000 -4.5494 5.8964
ATOMIC_POSITIONS angstrom
Cs 0.0000 0.0000 2.2155
Cs 0.0000 0.0000 15.4737
Pu -1.9700 -1.1374 5.8964
Pu -1.9700 1.1374 11.7928
Pu 0.0000 2.2747 5.8964
Ni 0.0000 0.0000 8.8446
O 0.0000 -1.7526 5.4472
O -1.5178 0.8763 5.4472
O -1.4803 -0.8546 7.6932
O -1.5178 -0.8763 12.2420
O 0.0000 -1.7093 9.9959
O -1.4803 0.8546 9.9959
O 1.4803 -0.8546 7.6932
O 0.0000 1.7093 7.6932
O 1.5178 0.8763 5.4472
O 1.4803 0.8546 9.9959
O 1.5178 -0.8763 12.2420
O 0.0000 1.7526 12.2420
```

Calculated values
The density of states at the Fermi level is 0.1795 states/eV/atom. Its total energy is -8.1523 eV per atom. The total moment is 6.00 μB per formula unit.